## TaAl (PBEsol)

Data for a geometry-optimized TaAl structure.

Values from the calculation:
Total moment = 0.000 μB/atom
Calculated total energy = -33.97 eV per cell
Energy of formation from the pure elements = -3.925 kcal/mol of atoms
Theoretical density = 10.5 g/cm³
Crystal system = tetragonal

```
4
Lattice="3.912 0.000 0.000 0.000 3.912 0.000 -1.956 -1.956 4.296" Properties=species:S:1:pos:R:3 pbc="T T T"
Al 1.956 1.956 0.000
Al 1.956 0.000 2.148
Ta 0.000 1.956 2.148
Ta 0.000 0.000 0.000
```